Compound: RbLiMgZr2
Source: Alexandria
Functional: PBE
Structure: relaxed

Computed properties:
E	-2.69	eV per atom
symmetry	No. 123

Unit cell a=5.300 b=5.300 c=4.531 alpha=90.00 beta=90.00 gamma=90.00
Sites, in units of the cell vectors:
Rb (0.000, 0.000, 0.000)
Li (0.000, 0.000, 0.500)
Mg (0.500, 0.500, 0.500)
Zr (0.000, 0.500, 0.000)
Zr (0.500, 0.000, 0.000)

Compound: Tb8Co2Os
Source: Alexandria
Functional: PBE
Structure: relaxed

Computed properties:
E	-5.74	eV per atom
symmetry	No. 8

Unit cell a=7.411 b=7.411 c=6.040 alpha=100.22 beta=100.22 gamma=113.84
Sites, in units of the cell vectors:
Tb (0.000, 0.000, 0.000)
Tb (0.013, 0.277, 0.596)
Tb (0.145, 0.570, 0.183)
Tb (0.277, 0.013, 0.596)
Tb (0.432, 0.693, 0.786)
Tb (0.570, 0.145, 0.183)
Tb (0.693, 0.432, 0.786)
Tb (0.715, 0.715, 0.367)
Co (0.043, 0.663, 0.688)
Co (0.663, 0.043, 0.688)
Os (0.361, 0.361, 0.023)

Compound: SiPbSe3
Source: Alexandria
Functional: PBE
Structure: relaxed

Computed properties:
energy relative to the elements, uncorrected	-45	meV/atom
energy relative to the lowest polymorph listed for this composition	0.432	eV per atom
symmetry	No. 221

Unit cell a=4.940 b=4.940 c=4.940 alpha=90.00 beta=90.00 gamma=90.00
Sites, in units of the cell vectors:
Si (0.000, 0.000, 0.000)
Pb (0.500, 0.500, 0.500)
Se (0.000, 0.000, 0.500)
Se (0.000, 0.500, 0.000)
Se (0.500, 0.000, 0.000)

Compound: NiTePIr
Source: Alexandria
Functional: PBE
Structure: relaxed

Computed properties:
energy relative to the elements, uncorrected	-239	meV/atom
energy relative to the lowest polymorph listed for this composition	0.011	eV per atom
symmetry	No. 156

Unit cell a=3.843 b=3.843 c=5.589 alpha=90.00 beta=90.00 gamma=120.00
Sites, in units of the cell vectors:
Ni (0.000, 0.000, 0.000)
Te (0.000, 0.000, 0.557)
P (0.667, 0.333, 0.081)
Ir (0.333, 0.667, 0.284)

Number 1: volume 127 Å³/f.u.. Number 2: volume 287 Å³/f.u.. Number 3: volume 121 Å³/f.u.. Number 4: volume 71 Å³/f.u..